# BeWN2F (PBE with a Hubbard U, relaxed)
data_BeWN2F
_chemical_formula_sum 'Be1 W1 N2 F1'
_cell_length_a 4.004
_cell_length_b 4.004
_cell_length_c 4.064
_cell_angle_alpha 90.00
_cell_angle_beta 90.00
_cell_angle_gamma 90.00
_space_group_name_H-M_alt 'P 4/m m m'
_space_group_IT_number 123
_space_group_name_Hall '-P 4 2'
loop_
_atom_site_label
_atom_site_type_symbol
_atom_site_fract_x
_atom_site_fract_y
_atom_site_fract_z
_atom_site_occupancy
Be1 Be 0.000 0.000 0.000 1
W1 W 0.500 0.500 0.500 1
N1 N 0.000 0.500 0.500 1
F1 F 0.500 0.500 0.000 1
# offset from the most stable computed form = 342.2 meV/atom
# electronic total energy = -5.599 eV/atom
# theoretical density = 6.11 g/cm3
# spin magnetization = 0.82 μB/f.u.